No. 1
The following is a DFT calculation (PBE) of a relaxed Tb2Be3NiGe4 crystal.

a = 4.014 Å, b = 4.014 Å, c = 9.764 Å
α = 90.00°, β = 90.00°, γ = 90.00°
Positions (direct):
Tb1 0.000 0.500 0.243
Tb2 0.500 0.000 0.757
Be1 0.000 0.000 0.000
Be2 0.000 0.500 0.635
Be3 0.500 0.000 0.365
Ni1 0.500 0.500 0.000
Ge1 0.000 0.000 0.500
Ge2 0.000 0.500 0.867
Ge3 0.500 0.000 0.133
Ge4 0.500 0.500 0.500

calculated formation energy = -0.455 eV per atom
symmetry = P-4m2
Fermi-level density of states = 1.77 states/eV per cell
crystal system = tetragonal
volume = 157 Å³/cell

***

No. 2
The following is a DFT calculation (PBE) of a relaxed TbBeNiGe2 crystal.

a = 3.949 Å, b = 3.949 Å, c = 10.161 Å
α = 90.00°, β = 90.00°, γ = 90.00°
Positions (direct):
Tb1 0.000 0.000 0.000
Tb2 0.500 0.500 0.500
Be1 0.000 0.500 0.250
Be2 0.500 0.000 0.750
Ni1 0.000 0.500 0.750
Ni2 0.500 0.000 0.250
Ge1 0.000 0.000 0.376
Ge2 0.000 0.000 0.624
Ge3 0.500 0.500 0.124
Ge4 0.500 0.500 0.876

calculated formation energy = -0.584 eV per atom
symmetry = I-4m2
Fermi-level density of states = 2.79 states/eV per cell
crystal system = tetragonal
volume = 158 Å³/cell

***

No. 3
The following is a DFT calculation (PBE) of a relaxed Tb2BeNi6Ge crystal.

a = 6.000 Å, b = 6.000 Å, c = 6.000 Å
α = 60.00°, β = 60.00°, γ = 60.00°
Positions (direct):
Tb1 0.250 0.250 0.250
Tb2 0.750 0.750 0.750
Be1 0.000 0.000 0.000
Ni1 0.234 0.234 0.766
Ni2 0.234 0.766 0.234
Ni3 0.234 0.766 0.766
Ni4 0.766 0.234 0.234
Ni5 0.766 0.234 0.766
Ni6 0.766 0.766 0.234
Ge1 0.500 0.500 0.500

calculated formation energy = -0.194 eV per atom
symmetry = Fm-3m
Fermi-level density of states = 8.04 states/eV per cell
crystal system = cubic
volume = 153 Å³/cell

***

No. 4
The following is a DFT calculation (PBE) of a relaxed BeNiGe2Te crystal.

a = 4.424 Å, b = 4.424 Å, c = 5.495 Å
α = 90.00°, β = 90.00°, γ = 90.00°
Positions (direct):
Be1 0.000 0.000 0.000
Ni1 0.500 0.500 0.500
Ge1 0.000 0.500 0.500
Ge2 0.500 0.000 0.500
Te1 0.500 0.500 0.000

symmetry = P4/mmm
raw formation energy = 0.582 eV/atom
Fermi-level density of states = 2.43 states/eV per cell
crystal system = tetragonal
volume = 108 Å³/cell

***

No. 5
The following is a DFT calculation (PBE) of a relaxed Th2BeNi3Ge4 crystal.

a = 4.151 Å, b = 4.151 Å, c = 9.729 Å
α = 90.00°, β = 90.00°, γ = 90.00°
Positions (direct):
Th1 0.000 0.500 0.247
Th2 0.500 0.000 0.753
Be1 0.500 0.500 0.000
Ni1 0.000 0.000 0.000
Ni2 0.000 0.500 0.626
Ni3 0.500 0.000 0.374
Ge1 0.000 0.000 0.500
Ge2 0.000 0.500 0.872
Ge3 0.500 0.000 0.128
Ge4 0.500 0.500 0.500

calculated formation energy = -0.662 eV per atom
symmetry = P-4m2
Fermi-level density of states = 4.58 states/eV per cell
crystal system = tetragonal
volume = 168 Å³/cell

***

No. 6
The following is a DFT calculation (PBE) of a relaxed Th2BeNi4Ge3 crystal.

a = 4.128 Å, b = 4.128 Å, c = 9.566 Å
α = 90.00°, β = 90.00°, γ = 90.00°
Positions (direct):
Th1 0.000 0.500 0.249
Th2 0.500 0.000 0.751
Be1 0.500 0.500 0.000
Ni1 0.000 0.000 0.500
Ni2 0.000 0.500 0.882
Ni3 0.500 0.000 0.118
Ni4 0.500 0.500 0.500
Ge1 0.000 0.000 0.000
Ge2 0.000 0.500 0.632
Ge3 0.500 0.000 0.368

calculated formation energy = -0.647 eV per atom
symmetry = P-4m2
Fermi-level density of states = 8.02 states/eV per cell
crystal system = tetragonal
volume = 163 Å³/cell

***

No. 7
The following is a DFT calculation (PBE) of a relaxed Ti2Be2Ni5Ge crystal.

a = 8.475 Å, b = 8.475 Å, c = 3.222 Å
α = 90.00°, β = 90.00°, γ = 90.00°
Positions (direct):
Ti1 0.178 0.322 0.000
Ti2 0.322 0.822 0.000
Ti3 0.678 0.178 0.000
Ti4 0.822 0.678 0.000
Be1 0.116 0.616 0.000
Be2 0.384 0.116 0.000
Be3 0.616 0.884 0.000
Be4 0.884 0.384 0.000
Ni1 0.000 0.500 0.500
Ni2 0.068 0.787 0.500
Ni3 0.213 0.068 0.500
Ni4 0.287 0.568 0.500
Ni5 0.432 0.287 0.500
Ni6 0.500 0.000 0.500
Ni7 0.568 0.713 0.500
Ni8 0.713 0.432 0.500
Ni9 0.787 0.932 0.500
Ni10 0.932 0.213 0.500
Ge1 0.000 0.000 0.000
Ge2 0.500 0.500 0.000

calculated formation energy = -0.395 eV per atom
symmetry = P4/mbm
Fermi-level density of states = 15.37 states/eV per cell
crystal system = tetragonal
volume = 231 Å³/cell

***

No. 8
The following is a DFT calculation (PBE) of a relaxed TiBeNi2Ge crystal.

a = 3.928 Å, b = 3.928 Å, c = 4.190 Å
α = 90.00°, β = 90.00°, γ = 90.00°
Positions (direct):
Ti1 0.000 0.000 0.000
Be1 0.500 0.500 0.500
Ni1 0.000 0.500 0.500
Ni2 0.500 0.000 0.500
Ge1 0.500 0.500 0.000

calculated formation energy = 0.082 eV per atom
symmetry = P4/mmm
Fermi-level density of states = 5.29 states/eV per cell
crystal system = tetragonal
volume = 65 Å³/cell